# 1
Below is TlSiCl after structural relaxation, with properties calculated at the PBE level.

Computed properties:
* raw formation energy: -0.071 eV per atom
* offset from the most stable computed form: 0 meV per atom
* SG: Imm2

Geometry as CIF:
```
data_TlSiCl
_chemical_formula_sum 'Tl1 Si1 Cl1'
_cell_length_a 6.212
_cell_length_b 6.212
_cell_length_c 6.212
_cell_angle_alpha 144.33
_cell_angle_beta 138.15
_cell_angle_gamma 56.14
_space_group_name_H-M_alt 'P 1'
_space_group_IT_number 1
loop_
_space_group_symop_operation_xyz
'x,y,z'
loop_
_atom_site_label
_atom_site_fract_x
_atom_site_fract_y
_atom_site_fract_z
Tl1 0.000 0.000 0.000
Si1 0.509 0.509 0.000
Cl1 0.709 0.709 0.000
```

---

# 2
Below is Tl2SiCl after structural relaxation, with properties calculated at the PBE level.

Computed properties:
* raw formation energy: 0.132 eV per atom
* offset from the most stable computed form: 197 meV per atom
* SG: Cmm2

Geometry as CIF:
```
data_Tl2SiCl
_chemical_formula_sum 'Tl2 Si1 Cl1'
_cell_length_a 3.389
_cell_length_b 3.389
_cell_length_c 10.494
_cell_angle_alpha 90.00
_cell_angle_beta 90.00
_cell_angle_gamma 120.41
_space_group_name_H-M_alt 'P 1'
_space_group_IT_number 1
loop_
_space_group_symop_operation_xyz
'x,y,z'
loop_
_atom_site_label
_atom_site_fract_x
_atom_site_fract_y
_atom_site_fract_z
Tl1 0.000 0.000 0.000
Tl2 0.500 0.500 0.294
Si1 0.500 0.500 0.757
Cl1 0.000 0.000 0.578
```

---

# 3
Below is TlSi2Cl after structural relaxation, with properties calculated at the PBE level.

Computed properties:
* raw formation energy: 0.262 eV per atom
* offset from the most stable computed form: 368 meV per atom
* SG: P2/m

Geometry as CIF:
```
data_TlSi2Cl
_chemical_formula_sum 'Tl1 Si2 Cl1'
_cell_length_a 3.854
_cell_length_b 5.770
_cell_length_c 4.752
_cell_angle_alpha 90.00
_cell_angle_beta 90.25
_cell_angle_gamma 90.00
_space_group_name_H-M_alt 'P 1'
_space_group_IT_number 1
loop_
_space_group_symop_operation_xyz
'x,y,z'
loop_
_atom_site_label
_atom_site_fract_x
_atom_site_fract_y
_atom_site_fract_z
Tl1 0.000 0.000 0.000
Si1 0.247 0.500 0.140
Si2 0.753 0.500 0.860
Cl1 0.500 0.000 0.500
```

---

# 4
Below is TlSiCl after structural relaxation, with properties calculated at the PBE level.

Computed properties:
* raw formation energy: 0.164 eV per atom
* offset from the most stable computed form: 235 meV per atom
* SG: P3m1

Geometry as CIF:
```
data_TlSiCl
_chemical_formula_sum 'Tl1 Si1 Cl1'
_cell_length_a 3.331
_cell_length_b 3.331
_cell_length_c 7.448
_cell_angle_alpha 90.00
_cell_angle_beta 90.00
_cell_angle_gamma 120.00
_space_group_name_H-M_alt 'P 1'
_space_group_IT_number 1
loop_
_space_group_symop_operation_xyz
'x,y,z'
loop_
_atom_site_label
_atom_site_fract_x
_atom_site_fract_y
_atom_site_fract_z
Tl1 0.000 0.000 0.000
Si1 0.333 0.667 0.657
Cl1 0.667 0.333 0.414
```

---

# 5
Below is TlSiCl2 after structural relaxation, with properties calculated at the PBE level.

Computed properties:
* raw formation energy: -0.124 eV per atom
* offset from the most stable computed form: 242 meV per atom
* SG: I-42d

Geometry as CIF:
```
data_TlSiCl2
_chemical_formula_sum 'Tl2 Si2 Cl4'
_cell_length_a 9.129
_cell_length_b 9.129
_cell_length_c 9.129
_cell_angle_alpha 143.24
_cell_angle_beta 143.24
_cell_angle_gamma 52.96
_space_group_name_H-M_alt 'P 1'
_space_group_IT_number 1
loop_
_space_group_symop_operation_xyz
'x,y,z'
loop_
_atom_site_label
_atom_site_fract_x
_atom_site_fract_y
_atom_site_fract_z
Tl1 0.000 0.000 0.000
Tl2 0.750 0.250 0.500
Si1 0.250 0.750 0.500
Si2 0.500 0.500 0.000
Cl1 0.208 0.625 0.083
Cl2 0.375 0.458 0.583
Cl3 0.542 0.125 0.917
Cl4 0.875 0.792 0.417
```

---

# 6
Below is TlSi2Cl after structural relaxation, with properties calculated at the PBE level.

Computed properties:
* raw formation energy: 0.361 eV per atom
* offset from the most stable computed form: 468 meV per atom
* SG: I-42d

Geometry as CIF:
```
data_TlSi2Cl
_chemical_formula_sum 'Tl2 Si4 Cl2'
_cell_length_a 10.529
_cell_length_b 10.529
_cell_length_c 10.529
_cell_angle_alpha 155.81
_cell_angle_beta 155.81
_cell_angle_gamma 34.47
_space_group_name_H-M_alt 'P 1'
_space_group_IT_number 1
loop_
_space_group_symop_operation_xyz
'x,y,z'
loop_
_atom_site_label
_atom_site_fract_x
_atom_site_fract_y
_atom_site_fract_z
Tl1 0.000 0.000 0.000
Tl2 0.750 0.250 0.500
Si1 0.227 0.625 0.102
Si2 0.375 0.477 0.602
Si3 0.523 0.125 0.898
Si4 0.875 0.773 0.398
Cl1 0.250 0.750 0.500
Cl2 0.500 0.500 0.000
```

---

Calculated volume, record by record: 92.5; 103.9; 105.7; 71.6; 135.4; 97.9 Å³/f.u.